1.
# ScBe2AsBr

A relaxed structure of ScBe2AsBr (PBE-GGA, the Alexandria database).

Cell lengths 5.1425, 4.9158, 5.1425 Å; angles 90.00, 90.00, 90.00 degrees
Positions (direct):
Sc 0.0000 0.0000 0.0000
Be 0.0000 0.0000 0.5000
Be 0.5000 0.0000 0.0000
As 0.5000 0.5000 0.5000
Br 0.0000 0.5000 0.0000

Its total magnetization is 1.1 μB per cell. The uncorrected formation energy is 1.1534 eV per atom. The density of states at the Fermi level comes out at 3.663 states/eV per cell.

---

2.
# Ac2YGa4Pd3

A relaxed structure of Ac2YGa4Pd3 (PBE-GGA, the Alexandria database).

Cell lengths 4.3681, 4.3681, 11.9117 Å; angles 90.00, 90.00, 90.00 degrees
Positions (direct):
Ac 0.5000 0.0000 0.2266
Ac 0.0000 0.5000 0.7734
Y 0.5000 0.5000 0.5000
Ga 0.5000 0.5000 0.0000
Ga 0.0000 0.0000 0.0000
Ga 0.5000 0.0000 0.6628
Ga 0.0000 0.5000 0.3372
Pd 0.0000 0.0000 0.5000
Pd 0.5000 0.0000 0.8794
Pd 0.0000 0.5000 0.1206

For the total DFT energy (no corrections), the calculation gives -4.950 eV per atom. Its total magnetization is 0.0 μB per cell. The density of states at the Fermi level comes out at 10.374 states/eV per cell.

---

3.
# RbGePS6

A relaxed structure of RbGePS6 (PBE-GGA, the Alexandria database).

Cell lengths 5.7972, 5.7970, 8.0712 Å; angles 90.00, 90.00, 59.99 degrees
Positions (direct):
Rb 0.0000 0.0000 0.0000
Ge 0.6666 0.6666 0.5000
P 0.3333 0.3334 0.5000
S 0.0254 0.3468 0.3307
S 0.3467 0.0254 0.6693
S 0.6278 0.3468 0.6693
S 0.0253 0.6279 0.6693
S 0.3468 0.6279 0.3307
S 0.6278 0.0254 0.3307

Its total magnetization is 0.0 μB per cell. The uncorrected formation energy is -0.1167 eV per atom. The density of states at the Fermi level comes out at 6.421 states/eV per cell.

---

4.
# As2OsPt

A relaxed structure of As2OsPt (PBE-GGA, the Alexandria database).

Cell lengths 4.6479, 4.6479, 4.6479 Å; angles 126.17, 126.17, 79.61 degrees
Positions (direct):
As 0.0000 0.0000 0.0000
As 0.5000 0.5000 0.0000
Os 0.2500 0.7500 0.5000
Pt 0.7500 0.2500 0.5000

Its total magnetization is 0.0 μB per cell. As for the energy above the most stable polymorph in this dataset: 256 meV per atom. The density of states at the Fermi level comes out at 3.196 states/eV per cell.

---

5.
# Pm2Al3Au

A relaxed structure of Pm2Al3Au (PBE-GGA, the Alexandria database).

Cell lengths 4.6040, 5.8148, 5.9333 Å; angles 79.07, 67.17, 66.68 degrees
Positions (direct):
Pm 0.5418 0.2085 0.7080
Pm 0.4529 0.7929 0.3013
Al 0.8420 0.6084 0.7075
Al 0.8346 0.2273 0.1035
Al 0.1620 0.7782 0.8978
Au 0.1667 0.3847 0.2819

Its total magnetization is 0.0 μB per cell. As for the energy above the most stable polymorph in this dataset: 0 meV per atom. The density of states at the Fermi level comes out at 3.081 states/eV per cell.

---

6.
# In2BiCl6

A relaxed structure of In2BiCl6 (PBE-GGA, the Alexandria database).

Cell lengths 7.2291, 7.3979, 11.7221 Å; angles 90.00, 90.92, 90.00 degrees
Positions (direct):
In 0.9956 0.4862 0.8056
In 0.5044 0.9862 0.6944
In 0.4956 0.0138 0.3056
In 0.0044 0.5138 0.1944
Bi 0.5000 0.5000 0.0000
Bi 0.0000 0.0000 0.5000
Cl 0.8345 0.8041 0.3256
Cl 0.8409 0.7740 0.6579
Cl 0.8189 0.7006 0.9930
Cl 0.6811 0.2006 0.5070
Cl 0.6591 0.2740 0.8421
Cl 0.6655 0.3041 0.1744
Cl 0.1655 0.1959 0.6744
Cl 0.1591 0.2260 0.3421
Cl 0.1811 0.2994 0.0070
Cl 0.3189 0.7994 0.4930
Cl 0.3409 0.7260 0.1579
Cl 0.3345 0.6959 0.8256

Its total magnetization is 0.0 μB per cell. As for the energy above the most stable polymorph in this dataset: 0 meV per atom. The uncorrected formation energy is -0.8797 eV per atom. The density of states at the Fermi level comes out at 7.283 states/eV per cell.

---

7.
# Nd3SmP

A relaxed structure of Nd3SmP (PBE-GGA, the Alexandria database).

Cell lengths 5.5968, 5.5968, 5.5968 Å; angles 90.00, 90.00, 90.00 degrees
Positions (direct):
P 0.0000 0.0000 0.0000
Nd 0.0000 0.5000 0.0000
Nd 0.0000 0.0000 0.5000
Nd 0.5000 0.0000 0.0000
Sm 0.5000 0.5000 0.5000

For the total DFT energy (no corrections), the calculation gives -5.271 eV per atom. Its total magnetization is 0.0 μB per cell. The density of states at the Fermi level comes out at 8.622 states/eV per cell.

---

8.
# NaMnCl4

A relaxed structure of NaMnCl4 (PBE-GGA, the Alexandria database).

Cell lengths 3.7302, 6.5039, 6.7960 Å; angles 94.27, 90.00, 90.00 degrees
Positions (direct):
Na 0.5000 0.0000 0.5000
Mn 0.0000 0.0000 0.0000
Cl 0.0000 0.7923 0.7180
Cl 0.5000 0.2102 0.8707
Cl 0.5000 0.7898 0.1293
Cl 0.0000 0.2077 0.2820

Its total magnetization is 4.0 μB per cell. As for the energy above the most stable polymorph in this dataset: 24 meV per atom. The uncorrected formation energy is -1.2202 eV per atom. The density of states at the Fermi level comes out at 0.601 states/eV per cell.